Mn2BeTe PBEsol optimized geometry; energy relative to the lowest polymorph listed for this composition = 0.071 eV per atom; uncorrected formation energy = 0.39 eV/atom; magnetization = 5.2 μB/cell
1.0
1.698 0.980 5.837
-1.698 0.980 5.837
0.000 -1.960 5.837
Mn Be Te
2 1 1
Direct
0.227 0.227 0.227
0.773 0.773 0.773
0.500 0.500 0.500
0.000 0.000 0.000

---

KPb3F PBEsol optimized geometry; uncorrected formation energy = 0.85 eV/atom; magnetization = 0.0 μB/cell
1.0
5.952 0.000 0.000
0.000 5.952 0.000
0.000 0.000 5.952
K Pb F
1 3 1
Direct
0.000 0.000 0.000
0.000 0.000 0.500
0.000 0.500 0.000
0.500 0.000 0.000
0.500 0.500 0.500

---

Tl2HgCl PBEsol optimized geometry; energy relative to the lowest polymorph listed for this composition = 0.000 eV per atom; uncorrected formation energy = -0.39 eV/atom; magnetization = 0.0 μB/cell
1.0
4.447 0.000 0.000
0.000 6.059 0.000
0.000 0.000 4.224
Tl Hg Cl
2 1 1
Direct
0.000 0.000 0.000
0.500 0.500 0.497
0.500 0.000 0.500
0.000 0.500 0.997

---

LiCo PBEsol optimized geometry; magnetization = 3.0 μB/cell; formation energy = 181 meV per atom
1.0
1.350 -2.024 0.000
1.350 2.024 0.000
0.000 0.000 8.750
Li Co
2 2
Direct
0.250 0.750 0.851
0.750 0.250 0.149
0.250 0.750 0.390
0.750 0.250 0.610

---

Ba2SrAu PBEsol optimized geometry; energy relative to the lowest polymorph listed for this composition = 0.003 eV per atom; magnetization = 0.0 μB/cell; formation energy = -329 meV per atom
1.0
4.026 0.000 0.000
0.000 4.026 0.000
0.000 0.000 10.475
Ba Sr Au
2 1 1
Direct
0.000 0.000 0.176
0.000 0.000 0.824
0.500 0.500 0.500
0.500 0.500 0.000

---

KCdS2Cl PBEsol optimized geometry; uncorrected formation energy = 0.64 eV/atom; magnetization = 2.4 μB/cell
1.0
5.491 0.000 0.000
0.000 5.491 0.000
0.000 0.000 5.357
K Cd S Cl
1 1 2 1
Direct
0.000 0.000 0.000
0.500 0.500 0.500
0.000 0.500 0.000
0.500 0.000 0.000
0.000 0.000 0.500

---

Zn2PIr PBEsol optimized geometry; magnetization = 0.0 μB/cell; formation energy = -38 meV per atom
1.0
2.454 -3.819 0.000
2.454 3.819 0.000
0.000 0.000 2.912
Zn P Ir
2 1 1
Direct
0.000 0.500 0.000
0.500 0.000 0.000
0.000 0.000 0.500
0.500 0.500 0.500

---

Co2TeW PBEsol optimized geometry; uncorrected formation energy = 0.45 eV/atom; magnetization = 0.0 μB/cell
1.0
3.597 0.000 0.000
0.000 3.701 0.000
0.000 0.000 4.129
Co Te W
2 1 1
Direct
0.000 0.000 0.000
0.500 0.000 0.500
0.000 0.500 0.500
0.500 0.500 0.000

---

In eV for the cell shown, the total DFT energy (no corrections) values for the records above are, in order, -25.5; -10.8; -9.4; -18.7; -11.4; -9.9; -18.9; -31.0.